1.
Sc2Ga3Pt4 | Alexandria | GGA-PBE | relaxed; formation energy from the elements = -8.60 eV/f.u.; symmetry = Cmce; energy above the lowest structure with this stoichiometry = 0.000 eV/atom
1.0
2.739 -7.462 0.000
2.739 7.462 0.000
0.000 0.000 7.506
Sc Ga Pt
4 6 8
Direct
0.102 0.898 0.904 Sc
0.398 0.602 0.404 Sc
0.602 0.398 0.596 Sc
0.898 0.102 0.096 Sc
0.000 0.000 0.500 Ga
0.015 0.485 0.750 Ga
0.485 0.015 0.250 Ga
0.500 0.500 0.000 Ga
0.515 0.985 0.750 Ga
0.985 0.515 0.250 Ga
0.177 0.823 0.525 Pt
0.190 0.310 0.750 Pt
0.310 0.190 0.250 Pt
0.323 0.677 0.025 Pt
0.677 0.323 0.975 Pt
0.690 0.810 0.750 Pt
0.810 0.690 0.250 Pt
0.823 0.177 0.475 Pt



2.
SrCuC | Alexandria | GGA-PBE | relaxed; formation energy from the elements = 0.09 eV/f.u.; symmetry = C2/m
1.0
7.536 0.000 0.000
0.000 4.153 0.000
-1.880 0.000 7.970
Sr Cu C
4 4 4
Direct
0.070 0.000 0.275 Sr
0.430 0.500 0.725 Sr
0.570 0.500 0.275 Sr
0.930 0.000 0.725 Sr
0.164 0.500 0.001 Cu
0.336 0.000 0.999 Cu
0.664 0.000 0.001 Cu
0.836 0.500 0.999 Cu
0.079 0.500 0.548 C
0.421 0.000 0.452 C
0.579 0.000 0.548 C
0.921 0.500 0.452 C



3.
Si2IrSe | Alexandria | GGA-PBE | relaxed; symmetry = Pmmm; ΔE_f (raw) = 41.3 kJ per mole of atoms
1.0
2.897 0.000 0.000
0.000 4.560 0.000
0.000 0.000 4.716
Si Ir Se
2 1 1
Direct
0.000 0.000 0.000 Si
0.500 0.500 0.000 Si
0.000 0.500 0.500 Ir
0.500 0.000 0.500 Se



4.
PmH12Pt6 | Alexandria | GGA-PBE | relaxed; symmetry = R-3; E = -4.392 eV per atom
1.0
5.171 2.986 1.926
-5.171 2.986 1.926
0.000 -5.971 1.926
Pm H Pt
1 12 6
Direct
0.000 0.000 0.000 Pm
0.013 0.363 0.820 H
0.178 0.463 0.447 H
0.180 0.987 0.637 H
0.363 0.820 0.013 H
0.447 0.178 0.463 H
0.463 0.447 0.178 H
0.537 0.553 0.822 H
0.553 0.822 0.537 H
0.637 0.180 0.987 H
0.820 0.013 0.363 H
0.822 0.537 0.553 H
0.987 0.637 0.180 H
0.170 0.274 0.594 Pt
0.274 0.594 0.170 Pt
0.406 0.830 0.726 Pt
0.594 0.170 0.274 Pt
0.726 0.406 0.830 Pt
0.830 0.726 0.406 Pt



5.
LaPm2DyTm2 | Alexandria | GGA-PBE | relaxed; formation energy from the elements = 0.94 eV/f.u.; symmetry = Pnnm
1.0
6.981 0.000 0.000
0.000 16.278 0.000
0.000 0.000 3.535
La Pm Dy Tm
2 4 2 4
Direct
0.000 0.000 0.000 La
0.500 0.500 0.500 La
0.247 0.338 0.000 Pm
0.253 0.838 0.500 Pm
0.747 0.162 0.500 Pm
0.753 0.662 0.000 Pm
0.000 0.500 0.500 Dy
0.500 0.000 0.000 Dy
0.249 0.153 0.500 Tm
0.251 0.653 0.000 Tm
0.749 0.347 0.000 Tm
0.751 0.847 0.500 Tm



6.
Mo2AsW | Alexandria | GGA-PBE | relaxed; formation energy from the elements = 0.81 eV/f.u.; symmetry = P4mm
1.0
3.208 0.000 0.000
0.000 3.208 0.000
0.000 0.000 6.139
Mo As W
2 1 1
Direct
0.000 0.000 0.000 Mo
0.500 0.500 0.227 Mo
0.500 0.500 0.732 As
0.000 0.000 0.509 W



Q: Number 1 is which compound?
A: Sc2Ga3Pt4



Please write out number 2 again, unchanged.
SrCuC | Alexandria | GGA-PBE | relaxed; formation energy from the elements = 0.09 eV/f.u.; symmetry = C2/m
1.0
7.536 0.000 0.000
0.000 4.153 0.000
-1.880 0.000 7.970
Sr Cu C
4 4 4
Direct
0.070 0.000 0.275 Sr
0.430 0.500 0.725 Sr
0.570 0.500 0.275 Sr
0.930 0.000 0.725 Sr
0.164 0.500 0.001 Cu
0.336 0.000 0.999 Cu
0.664 0.000 0.001 Cu
0.836 0.500 0.999 Cu
0.079 0.500 0.548 C
0.421 0.000 0.452 C
0.579 0.000 0.548 C
0.921 0.500 0.452 C